Entry 1:
# Cs7SnTe6

An optimized crystal structure of Cs7SnTe6 (PBE-GGA, Alexandria).

a = 9.8664 Å, b = 16.6900 Å, c = 20.2589 Å
α = 90.00°, β = 90.00°, γ = 90.00°
Closest atoms and distances in Å follow each position.
Space group Ibam (No. 72)
Unique sites:
Cs 0.0000 0.0000 0.2500 (multiplicity 4)  4 Te 3.89
Cs 0.1528 0.2945 0.1317 (multiplicity 16)  4 Te 3.82-4.01
Cs 0.2325 0.0410 0.0000 (multiplicity 8)  4 Te 3.75-3.93
Sn 0.0000 0.5000 0.2500 (multiplicity 4)  4 Te 2.78
Te 0.0728 0.1747 0.5000 (multiplicity 8)  6 Cs 3.75-4.01
Te 0.1745 0.4031 0.3228 (multiplicity 16)  1 Sn 2.78

Calculated values
D(E_F), states/eV/f.u.: 18.7
Uncorrected formation energy, kJ per mole of atoms: -81.5



Entry 2:
# NaCdNi2

An optimized crystal structure of NaCdNi2 (PBE-GGA, Alexandria).

a = 7.2393 Å, b = 7.2393 Å, c = 5.3066 Å
α = 90.00°, β = 90.00°, γ = 90.00°
Closest atoms and distances in Å follow each position.
Space group I-42d (No. 122)
Unique sites:
Na 0.0000 0.0000 0.0000 (multiplicity 4)  2 Cd 2.65, 4 Ni 2.73
Cd 0.0000 0.0000 0.5000 (multiplicity 4)  4 Ni 2.56, 2 Na 2.65
Ni 0.2328 0.2500 0.6250 (multiplicity 8)  2 Cd 2.56, 2 Ni 2.66, 2 Na 2.73

Calculated values
D(E_F), states/eV/f.u.: 3.5
Energy of formation from the pure elements, eV per atom: 0.60



Entry 3:
# ScTc2

An optimized crystal structure of ScTc2 (PBE-GGA, Alexandria).

a = 3.1489 Å, b = 13.8067 Å, c = 4.4792 Å
α = 90.00°, β = 90.00°, γ = 90.00°
Closest atoms and distances in Å follow each position.
Space group Cmcm (No. 63)
Unique sites:
Sc 0.0000 0.0821 0.2500 (multiplicity 4)  8 Tc 2.74-2.91
Tc 0.0000 0.2437 0.7500 (multiplicity 4)  6 Tc 2.58-2.74, 2 Sc 2.87
Tc 0.0000 0.4046 0.2500 (multiplicity 4)  2 Tc 2.58, 4 Sc 2.74

Calculated values
D(E_F), states/eV/f.u.: 1.9
Energy of formation from the pure elements, eV per atom: -0.18
Offset from the most stable computed form, eV per atom: 0.122



Entry 4:
# ZnMoPbBr2

An optimized crystal structure of ZnMoPbBr2 (PBE-GGA, Alexandria).

a = 5.0878 Å, b = 5.0878 Å, c = 5.4921 Å
α = 90.00°, β = 90.00°, γ = 90.00°
Closest atoms and distances in Å follow each position.
Space group P4/mmm (No. 123)
Unique sites:
Zn 0.0000 0.0000 0.0000 (multiplicity 1)  4 Br 2.54, 2 Mo 2.75
Mo 0.0000 0.0000 0.5000 (multiplicity 1)  2 Zn 2.75
Pb 0.5000 0.5000 0.5000 (multiplicity 1)  4 Mo 3.60, 8 Br 3.74
Br 0.0000 0.5000 0.0000 (multiplicity 2)  2 Zn 2.54

Calculated values
D(E_F), states/eV/f.u.: 2.0
Uncorrected formation energy, kJ per mole of atoms: 69.5



Entry 5:
# SmDyTh2

An optimized crystal structure of SmDyTh2 (PBE-GGA, Alexandria).

a = 3.5593 Å, b = 3.5593 Å, c = 10.2389 Å
α = 90.00°, β = 90.00°, γ = 90.00°
Closest atoms and distances in Å follow each position.
Space group P4/mmm (No. 123)
Unique sites:
Sm 0.0000 0.0000 0.0000 (multiplicity 1)  4 Sm 3.56, 8 Th 3.61
Dy 0.0000 0.0000 0.5000 (multiplicity 1)  4 Dy 3.56, 8 Th 3.57
Th 0.5000 0.5000 0.2529 (multiplicity 2)  4 Th 3.56, 4 Dy 3.57, 4 Sm 3.61

Calculated values
D(E_F), states/eV/f.u.: 6.3
Energy of formation from the pure elements, eV per atom: 0.07
Offset from the most stable computed form, eV per atom: 0.035



Entry 6:
# Be3IBr

An optimized crystal structure of Be3IBr (PBE-GGA, Alexandria).

a = 5.1220 Å, b = 5.1220 Å, c = 5.1220 Å
α = 90.00°, β = 90.00°, γ = 90.00°
Closest atoms and distances in Å follow each position.
Space group Pm-3m (No. 221)
Unique sites:
Be 0.0000 0.0000 0.5000 (multiplicity 3)  2 I 2.56
I 0.0000 0.0000 0.0000 (multiplicity 1)  6 Be 2.56
Br 0.5000 0.5000 0.5000 (multiplicity 1)  12 Be 3.62

Calculated values
D(E_F), states/eV/f.u.: 2.3
Uncorrected formation energy, kJ per mole of atoms: 144.7
Offset from the most stable computed form, eV per atom: 0.112



Entry 7:
# Pr3Ga3Pd2

An optimized crystal structure of Pr3Ga3Pd2 (PBE-GGA, Alexandria).

a = 8.3281 Å, b = 15.4842 Å, c = 5.7331 Å
α = 90.00°, β = 90.00°, γ = 90.00°
Closest atoms and distances in Å follow each position.
Space group Pnma (No. 62)
Unique sites:
Pr 0.0422 0.1081 0.1272 (multiplicity 8)  3 Pd 3.09-3.31, 7 Ga 3.17-3.45
Pr 0.1836 0.2500 0.6231 (multiplicity 4)  5 Ga 3.09-3.30, 4 Pd 3.21-3.26
Ga 0.1683 0.7500 0.6172 (multiplicity 4)  2 Pd 2.69
Ga 0.1856 0.0371 0.6104 (multiplicity 8)  3 Pd 2.57-2.69
Pd 0.1007 0.6057 0.3750 (multiplicity 8)  4 Ga 2.57-2.69

Calculated values
D(E_F), states/eV/f.u.: 6.0
Energy of formation from the pure elements, eV per atom: -0.72



Entry 8:
# Sr2Si3Pt12Rh

An optimized crystal structure of Sr2Si3Pt12Rh (PBE-GGA, Alexandria).

a = 8.2124 Å, b = 8.2124 Å, c = 18.8613 Å
α = 90.00°, β = 90.00°, γ = 120.00°
Closest atoms and distances in Å follow each position.
Space group R-3m (No. 166, hexagonal axes)
Unique sites:
Sr 0.0000 0.0000 0.1118 (multiplicity 6)  6 Pt 2.98-3.01
Si 0.0000 0.5000 0.0000 (multiplicity 9)  6 Pt 2.32-2.36
Pt 0.0012 0.5006 0.8771 (multiplicity 18)  1 Si 2.32, 1 Rh 2.52
Pt 0.0327 0.5164 0.3683 (multiplicity 18)  2 Si 2.36
Rh 0.0000 0.0000 0.5000 (multiplicity 3)  6 Pt 2.52

Calculated values
D(E_F), states/eV/f.u.: 14.1
Uncorrected formation energy, kJ per mole of atoms: -27.4